[1]
DFT (PBE) results for a relaxed structure of ZrBW.

Results
ρ (g cm⁻³): 10.928
Total magnetic moment (μB per formula unit): 0.0

Lattice parameters (Å, degrees): 6.5364 3.3714 7.8852 90.00 90.00 90.00
Last column: nearest neighbours and their distance in Å.
Fractional positions:
B 0.2682 0.2500 0.8604  4 W 2.36-2.55, 4 Zr 2.59-2.62
B 0.7318 0.7500 0.1396  4 W 2.36-2.55, 4 Zr 2.59-2.62
B 0.7682 0.2500 0.6396  4 W 2.36-2.55, 4 Zr 2.59-2.62
B 0.2318 0.7500 0.3604  4 W 2.36-2.55, 4 Zr 2.59-2.62
Zr 0.0302 0.2500 0.1692  5 B 2.59-2.89, 2 W 2.89
Zr 0.5302 0.2500 0.3308  5 B 2.59-2.89, 2 W 2.89
Zr 0.9698 0.7500 0.8308  5 B 2.59-2.89, 2 W 2.89
Zr 0.4698 0.7500 0.6692  5 B 2.59-2.89, 2 W 2.89
W 0.3607 0.7500 0.0546  4 B 2.36-2.55, 2 W 2.63
W 0.8607 0.7500 0.4454  4 B 2.36-2.55, 2 W 2.63
W 0.1393 0.2500 0.5546  4 B 2.36-2.55, 2 W 2.63
W 0.6393 0.2500 0.9454  4 B 2.36-2.55, 2 W 2.63

[2]
DFT (PBE) results for a relaxed structure of Tb2GdTl3PtAu2.

Results
ρ (g cm⁻³): 13.282
Total magnetic moment (μB per formula unit): 0.0

Lattice parameters (Å, degrees): 3.9414 7.8391 7.8391 120.03 90.00 90.00
Last column: nearest neighbours and their distance in Å.
Fractional positions:
Tb 0.0000 0.0000 0.3987  4 Au 3.10, 1 Pt 3.12, 6 Tl 3.32-3.38
Tb 0.0000 0.3987 0.0000  4 Au 3.10, 1 Pt 3.12, 6 Tl 3.32-3.38
Au 0.5000 0.3325 0.6670  3 Tl 2.93-2.94, 4 Tb 3.10, 2 Gd 3.11
Au 0.5000 0.6670 0.3325  3 Tl 2.93-2.94, 4 Tb 3.10, 2 Gd 3.11
Tl 0.5000 0.7389 0.0000  2 Pt 2.84, 2 Au 2.93-2.94
Tl 0.5000 0.0000 0.7389  2 Pt 2.84, 2 Au 2.93-2.94
Tl 0.5000 0.2614 0.2614  2 Pt 2.84, 2 Au 2.94
Pt 0.0000 0.0006 0.0006  6 Tl 2.84, 2 Tb 3.12, 1 Gd 3.13
Gd 0.0000 0.6009 0.6009  4 Au 3.11, 1 Pt 3.13, 6 Tl 3.31-3.38

[3]
DFT (PBE) results for a relaxed structure of LaPr2Al7Ag2.

Results
ρ (g cm⁻³): 5.451
Total magnetic moment (μB per formula unit): 0.0

Lattice parameters (Å, degrees): 9.5393 9.5393 9.5393 34.73 34.73 34.73
Last column: nearest neighbours and their distance in Å.
Fractional positions:
La 0.0000 0.0000 0.0000  6 Ag 3.29, 12 Al 3.61
Pr 0.1415 0.1415 0.1415  12 Al 3.26-3.36, 3 Pr 3.55
Pr 0.8585 0.8585 0.8585  12 Al 3.26-3.36, 3 Pr 3.55
Al 0.5865 0.0744 0.5865  2 Ag 2.72-2.79, 5 Al 2.78-2.92
Al 0.4135 0.9256 0.4135  2 Ag 2.72-2.79, 5 Al 2.78-2.92
Al 0.5000 0.5000 0.5000  6 Al 2.82
Al 0.9256 0.4135 0.4135  2 Ag 2.72-2.79, 5 Al 2.78-2.92
Al 0.4135 0.4135 0.9256  2 Ag 2.72-2.79, 5 Al 2.78-2.92
Al 0.0744 0.5865 0.5865  2 Ag 2.72-2.79, 5 Al 2.78-2.92
Al 0.5865 0.5865 0.0744  2 Ag 2.72-2.79, 5 Al 2.78-2.92
Ag 0.6639 0.6639 0.6639  6 Al 2.72-2.79
Ag 0.3361 0.3361 0.3361  6 Al 2.72-2.79

Number 1: DFT total energy -9.81 eV per atom. Number 2: DFT total energy -4.38 eV per atom. Number 3: DFT total energy -4.33 eV per atom.